# Sr2LiAu2O6 GGA-PBE optimized geometry
data_Sr2LiAu2O6
_cell_length_a 5.9059
_cell_length_b 5.9059
_cell_length_c 17.1310
_cell_angle_alpha 90.00
_cell_angle_beta 90.00
_cell_angle_gamma 120.00
_space_group_name_H-M_alt 'R -3 m'
_space_group_IT_number 166
_space_group_name_Hall '-R 3 2"'
loop_
_atom_site_label
_atom_site_fract_x
_atom_site_fract_y
_atom_site_fract_z
Sr1 0.0000 0.0000 0.2108
Li1 0.0000 0.0000 0.0000
Au1 0.0000 0.0000 0.4131
O1 0.0520 0.5260 0.7557
# * total DFT energy (no corrections): -4.77 eV per atom
# * V: 15.7 Å³ per atom
# * formation energy without anion corrections: -0.9900 eV/atom
# * total magnetic moment: 0.0 Bohr magnetons per cell